1.
Below is a relaxed BaMgAg crystal, with properties calculated at the GGA-PBE level.

a = 5.5915 Å, b = 5.5915 Å, c = 5.5915 Å
α = 60.00°, β = 60.00°, γ = 60.00°
Positions (direct):
Ag  0.5000  0.5000  0.5000
Ba  0.7500  0.7500  0.7500
Mg  0.0000  0.0000  0.0000

D(E_F) ... 1.98 states/eV per cell
Calculated formation energy ... 0.31 eV/atom

2.
Below is a relaxed KCuSe crystal, with properties calculated at the GGA-PBE level.

a = 4.2525 Å, b = 6.6690 Å, c = 6.6734 Å
α = 79.12°, β = 71.42°, γ = 71.41°
Positions (direct):
K  0.7848  0.7154  0.7149
K  0.2152  0.2846  0.2851
Cu  0.0004  0.8450  0.1543
Cu  0.9996  0.1550  0.8457
Se  0.5002  0.7452  0.2543
Se  0.4998  0.2548  0.7457

Energy relative to the elements, uncorrected ... -600 meV/atom

| no. | ρ (g cm⁻³) | E (eV for the cell shown) |
| --- | --- | --- |
| 1 | 3.6 | -5.43 |
| 2 | 3.6 | -20.96 |